Record 1
An optimized crystal structure of HfTlCoHg, computed with PBE-GGA.

The calculation puts the excess energy over the best structure of this formula in the dataset at 12 meV/atom.

It has space group F-43m (No. 216), with a = 6.738 Å, b = 6.738 Å, c = 6.738 Å, α = 90.00°, β = 90.00° and γ = 90.00°. The inequivalent atoms are Hf at (0.000, 0.000, 0.000), Tl at (0.000, 0.000, 0.500), Co at (0.250, 0.250, 0.750) and Hg at (0.250, 0.250, 0.250).



Record 2
An optimized crystal structure of HoHfCo, computed with PBE-GGA.

As for the formation energy: 1.09 eV/atom.

It has space group F-43m (No. 216), with a = 6.358 Å, b = 6.358 Å, c = 6.358 Å, α = 90.00°, β = 90.00° and γ = 90.00°. The inequivalent atoms are Ho at (0.000, 0.000, 0.000), Hf at (0.250, 0.250, 0.250) and Co at (0.250, 0.250, 0.750).



Record 3
An optimized crystal structure of HoHf2Co9, computed with PBE-GGA.

As for the formation energy: -0.28 eV/atom.

It has space group R-3m (No. 166, hexagonal axes), with a = 4.8491 Å, b = 4.8491 Å, c = 23.6090 Å, α = 90.00°, β = 90.00° and γ = 120.00°. The inequivalent atoms are Ho at (0.0000, 0.0000, 0.0000), Hf at (0.0000, 0.0000, 0.1399), Co at (0.0000, 0.0000, 0.3357), Co at (0.0000, 0.0000, 0.5000) and Co at (0.0066, 0.5033, 0.9154).



Record 4
An optimized crystal structure of Hf2In2Co, computed with PBE-GGA.

The total energy comes out at -58.776 eV/cell.

It has space group I4/mmm (No. 139), with a = 3.784 Å, b = 3.784 Å, c = 15.235 Å, α = 90.00°, β = 90.00° and γ = 90.00°. The inequivalent atoms are Hf at (0.000, 0.000, 0.089), In at (0.000, 0.500, 0.250) and Co at (0.000, 0.000, 0.500).



Record 5
An optimized crystal structure of HfIn2Co, computed with PBE-GGA.

The total energy comes out at -87.760 eV/cell.

It has space group F-43m (No. 216), with a = 6.674 Å, b = 6.674 Å, c = 6.674 Å, α = 90.00°, β = 90.00° and γ = 90.00°. The inequivalent atoms are Hf at (0.000, 0.000, 0.000), In at (0.000, 0.000, 0.500), In at (0.250, 0.250, 0.250) and Co at (0.250, 0.250, 0.750).



Record 6
An optimized crystal structure of HfIn2Co, computed with PBE-GGA.

The total energy comes out at -87.764 eV/cell.

It has space group F-43m (No. 216), with a = 6.680 Å, b = 6.680 Å, c = 6.680 Å, α = 90.00°, β = 90.00° and γ = 90.00°. The inequivalent atoms are Hf at (0.000, 0.000, 0.000), In at (0.000, 0.000, 0.500), In at (0.250, 0.250, 0.750) and Co at (0.250, 0.250, 0.250).